Model A:
BTe3Se GGA-PBE relaxed; V = 32.8 Å³ per atom; total magnetization = 0.0 Bohr magnetons per cell
1.0
5.475 0.000 0.000
0.000 5.475 0.000
0.000 0.000 5.475
B Te Se
1 3 1
Direct
0.000 0.000 0.000
0.000 0.500 0.500
0.500 0.000 0.500
0.500 0.500 0.000
0.500 0.500 0.500



Model B:
BTe3Se GGA-PBE relaxed; V = 23.3 Å³ per atom; total magnetization = 0.0 Bohr magnetons per cell
1.0
4.881 0.000 0.000
0.000 4.881 0.000
0.000 0.000 4.881
B Te Se
1 3 1
Direct
0.000 0.000 0.000
0.000 0.000 0.500
0.000 0.500 0.000
0.500 0.000 0.000
0.500 0.500 0.500



Stability order, top to bottom: model B, model A



Model A:
BTe2Se GGA-PBE relaxed; V = 23.5 Å³ per atom; total magnetization = 0.0 Bohr magnetons per cell
1.0
1.809 1.044 8.301
-1.809 1.044 8.301
0.000 -2.088 8.301
B Te Se
1 2 1
Direct
0.000 0.000 0.000
0.391 0.391 0.391
0.609 0.609 0.609
0.500 0.500 0.500



Model B:
BTe2Se GGA-PBE relaxed; V = 24.7 Å³ per atom; total magnetization = 0.0 Bohr magnetons per cell
1.0
-3.370 3.370 4.357
3.370 -3.370 4.357
3.370 3.370 -4.357
B Te Se
2 4 2
Direct
0.000 0.000 0.000
0.750 0.250 0.500
0.047 0.125 0.422
0.375 0.953 0.078
0.703 0.625 0.578
0.875 0.297 0.922
0.250 0.750 0.500
0.500 0.500 0.000



Model C:
BTe2Se GGA-PBE relaxed; V = 36.5 Å³ per atom; total magnetization = 0.0 Bohr magnetons per cell
1.0
2.489 1.437 6.803
-2.489 1.437 6.803
0.000 -2.874 6.803
B Te Se
1 2 1
Direct
0.000 0.000 0.000
0.099 0.099 0.099
0.901 0.901 0.901
0.500 0.500 0.500



Stability order, top to bottom: model B, model A, model C